[1]
The following is a PBE calculation of a geometry-optimized VRuS2Cl structure, from Alexandria via LeMat-Bulk.

Calculated values
Space-group type: P4/mmm, No. 123
Energy above the lowest structure with this stoichiometry in eV per atom: 0.000
Formation energy without anion corrections in eV per atom: 0.43
Calculated volume in Å³ per cell: 96.7

a b c (Å): 4.571 4.571 4.629
angles (deg): 90.00 90.00 90.00
Last column: magnetic moment on the atom in μB.
Atoms (fractional coordinates):
V1 0.000 0.000 0.000  0.09
S1 0.500 0.000 0.000  0.08
Cl1 0.000 0.000 0.500  0.07
Ru1 0.500 0.500 0.500  2.69
S2 0.000 0.500 0.000  0.08

=====

[2]
The following is a PBE calculation of a geometry-optimized YRuS2Cl structure, from Alexandria via LeMat-Bulk.

Calculated values
Space-group type: P4/mmm, No. 123
Energy above the lowest structure with this stoichiometry in eV per atom: 0.000
Formation energy without anion corrections in eV per atom: -0.56
Calculated volume in Å³ per cell: 101.5

a b c (Å): 4.680 4.680 4.633
angles (deg): 90.00 90.00 90.00
Last column: magnetic moment on the atom in μB.
Atoms (fractional coordinates):
S1 0.000 0.500 0.000  0.01
Cl1 0.000 0.000 0.500  0.00
S2 0.500 0.000 0.000  0.01
Y1 0.500 0.500 0.500  0.00
Ru1 0.000 0.000 0.000  0.10